Density functional theory data (PBE) for a relaxed structure of ReSiTe2.

N(E_F), states/eV per cell: 2.19
Density, g/cm³: 9.9
Formation energy (no corrections), eV/atom: 0.958
Size of the total moment, μB/cell: 0.0
Energy, eV per cell: -20.32

```
4
Lattice="5.077 0.001 0.000 1.189 4.936 0.000 -3.133 -2.468 3.141" Properties=species:S:1:pos:R:3 pbc="T T T"
Re 3.133 2.468 0.000
Si 2.538 0.000 1.571
Te 0.000 0.000 0.000
Te 0.594 2.468 1.571
```

=====

Density functional theory data (PBE) for a relaxed structure of ReSi2Te.

N(E_F), states/eV per cell: 2.82
Density, g/cm³: 8.9
Formation energy (no corrections), eV/atom: 0.994
Size of the total moment, μB/cell: 0.0
Energy, eV per cell: -22.46

```
4
Lattice="4.443 0.000 0.000 0.000 3.932 0.000 0.000 0.000 3.932" Properties=species:S:1:pos:R:3 pbc="T T T"
Re 2.221 0.000 1.966
Si 0.000 0.000 0.000
Si 0.000 1.966 1.966
Te 2.221 1.966 0.000
```

=====

Density functional theory data (PBE) for a relaxed structure of ReSi2Te.

N(E_F), states/eV per cell: 1.83
Density, g/cm³: 8.0
Formation energy (no corrections), eV/atom: 0.236
Size of the total moment, μB/cell: 0.0
Energy, eV per cell: -25.49

```
4
Lattice="-0.844 1.128 -4.034 -1.433 -2.007 -3.489 -6.195 1.114 -0.291" Properties=species:S:1:pos:R:3 pbc="T T T"
Re -1.649 -0.029 -1.951
Si -0.143 0.024 -0.017
Si -7.046 0.282 -5.996
Te -3.871 0.075 -3.756
```

=====

Density functional theory data (PBE) for a relaxed structure of ReSiTe2.

N(E_F), states/eV per cell: 3.37
Density, g/cm³: 9.9
Formation energy (no corrections), eV/atom: 1.018
Size of the total moment, μB/cell: 0.0
Energy, eV per cell: -20.08

```
4
Lattice="-1.028 2.398 4.041 2.894 -0.377 3.823 2.718 3.737 1.337" Properties=species:S:1:pos:R:3 pbc="T T T"
Re 2.292 2.879 4.600
Si 3.438 4.318 6.900
Te 0.000 0.000 0.000
Te 1.146 1.439 2.300
```

=====

Density functional theory data (PBE) for a relaxed structure of ReSiTe2.

N(E_F), states/eV per cell: 2.45
Density, g/cm³: 9.1
Formation energy (no corrections), eV/atom: 0.688
Size of the total moment, μB/cell: 0.0
Energy, eV per cell: -21.40

```
4
Lattice="4.396 0.016 -0.014 3.064 3.152 -0.014 1.161 0.493 6.222" Properties=species:S:1:pos:R:3 pbc="T T T"
Re 6.466 2.746 4.646
Si 2.155 0.915 1.549
Te 1.216 0.516 6.053
Te 4.257 1.807 3.266
```

=====

Density functional theory data (PBE) for a relaxed structure of ReSi2Te.

N(E_F), states/eV per cell: 2.19
Density, g/cm³: 8.8
Formation energy (no corrections), eV/atom: 0.728
Size of the total moment, μB/cell: 0.0
Energy, eV per cell: -23.53

```
4
Lattice="5.141 0.020 0.005 1.694 4.853 -0.005 -2.829 -3.262 2.790" Properties=species:S:1:pos:R:3 pbc="T T T"
Re 0.836 1.796 1.393
Si 6.772 4.829 0.000
Si 3.040 -0.278 1.397
Te 3.610 2.574 0.000
```

=====

Density functional theory data (PBE) for a relaxed structure of ReSi2Te.

N(E_F), states/eV per cell: 2.78
Density, g/cm³: 8.9
Formation energy (no corrections), eV/atom: 0.870
Size of the total moment, μB/cell: 0.0
Energy, eV per cell: -22.96

```
4
Lattice="3.225 0.000 0.000 0.000 4.946 0.000 0.000 0.000 4.321" Properties=species:S:1:pos:R:3 pbc="T T T"
Re 0.000 2.473 2.160
Si 0.000 0.000 0.000
Si 1.612 2.473 0.000
Te 1.612 0.000 2.160
```

=====

Density functional theory data (PBE) for a relaxed structure of Ti2ReSiTe.

N(E_F), states/eV per cell: 4.47
Density, g/cm³: 6.3
Formation energy (no corrections), eV/atom: 0.899
Size of the total moment, μB/cell: 0.0
Energy, eV per cell: -32.31

```
5
Lattice="-3.337 3.278 -1.223 -3.452 -3.573 -0.158 -0.984 0.743 4.675" Properties=species:S:1:pos:R:3 pbc="T T T"
Re 0.000 0.000 0.000
Si -3.886 0.224 1.647
Te -1.726 -1.787 -0.079
Ti -0.492 0.372 2.338
Ti -1.669 1.639 -0.612
```

=====

Which value of density does entry 4 give? 9.9 g/cm³

=====

Among the records above, which one has the lowest formation energy (no corrections)? number 3